CsBa2SmBr8 | PBE | optimized geometry

abc: 7.3587 7.2460 10.1325
angles: 89.98 89.99 90.21
Sites, in units of the cell vectors:
Ba: 0.5000 0.5001 0.2475
Br: 0.8502 0.2308 0.2015
Br: 0.3995 0.2588 0.5000
Ba: 0.5000 0.4999 0.7525
Br: 0.3214 0.2424 0.0001
Br: 0.1498 0.7692 0.7985
Cs: 0.0000 0.0000 0.5000
Br: 0.8506 0.2312 0.7984
Br: 0.6005 0.7412 0.5000
Br: 0.6786 0.7576 0.9999
Sm: 0.0000 0.0000 0.0000
Br: 0.1494 0.7688 0.2016

Results
Calculated volume = 45.0 Å³ per atom
D(E_F) = 0.0 states/eV/cell
Calculated total energy = -46.69 eV per cell
Total magnetic moment = 0.0000 μB per atom
Energy relative to the elements, uncorrected = -1.99 eV per atom